VASP calculation (GGA-PBE) on a relaxed structure of K3CaU2O9.

```
15
Lattice="-3.564 -4.997 0.537 4.479 0.149 -4.228 4.803 -2.890 4.985" Properties=species:S:1:pos:R:3 pbc="T T T"
K 4.958 -3.468 0.640
K 0.000 0.000 0.000
K 0.760 -4.270 0.654
Ca 2.401 -1.445 2.492
U 2.596 -2.046 -1.812
U 3.121 -5.691 3.105
O 1.144 -6.051 3.088
O 3.229 -5.982 1.119
O 2.804 -3.725 2.838
O 2.913 -4.013 -1.545
O 2.488 -1.756 0.174
O 4.573 -1.686 -1.795
O -1.782 -2.498 0.268
O 2.239 0.075 -2.114
O 0.457 -2.424 -1.846
```

Values from the calculation:
The calculation puts the size of the total moment at 0.9 μB per cell. The density of states at the Fermi level comes out at 0.837 states/eV/atom. The total energy comes out at -112.4 eV/cell. As for the space-group type: P-3m1 (164). The crystal system is trigonal.


VASP calculation (GGA-PBE) on a relaxed structure of K4CaU3O12.

```
20
Lattice="-0.402 5.285 -5.323 -0.350 -6.794 -3.186 -5.735 0.821 4.782" Properties=species:S:1:pos:R:3 pbc="T T T"
K -0.175 -3.397 -1.593
K -0.201 2.643 -2.662
K -2.867 0.411 2.391
K -3.243 -0.344 -1.863
Ca 0.000 0.000 0.000
U -3.068 3.053 -0.270
U -3.042 -2.986 0.798
U -0.376 -0.754 -4.254
O -3.230 -3.364 -1.329
O -1.910 0.772 -4.390
O -4.576 -1.460 0.663
O -1.897 -2.248 -3.855
O -4.589 1.560 0.129
O -3.256 2.676 -2.398
O -0.546 -1.096 -6.183
O -1.677 1.669 -0.148
O -0.205 -0.412 -2.326
O -1.663 -1.633 0.436
O -4.421 -4.340 1.160
O -4.459 4.437 -0.393
```

Values from the calculation:
The calculation puts the size of the total moment at 0.0 μB per cell. The density of states at the Fermi level comes out at 0.000 states/eV/atom. The total energy comes out at -157.0 eV/cell. As for the space-group type: Im-3m (229). The crystal system is cubic.


VASP calculation (GGA-PBE) on a relaxed structure of K2Ca2UO6.

```
11
Lattice="-3.288 0.039 -4.988 5.882 -0.954 -0.434 -1.877 -5.871 2.498" Properties=species:S:1:pos:R:3 pbc="T T T"
K -1.689 -0.134 -4.193
K 4.282 -0.781 -1.229
Ca 1.861 -3.555 -0.716
Ca -1.144 -3.230 -2.208
U -0.938 -2.935 1.249
O 0.727 -4.682 -2.486
O 0.670 -4.311 1.271
O -0.010 -2.103 -0.438
O -2.141 -4.007 -0.125
O 0.046 -2.474 -4.195
O 2.857 -2.779 -2.799
```

Values from the calculation:
The calculation puts the size of the total moment at 0.0 μB per cell. The density of states at the Fermi level comes out at 0.000 states/eV/atom. The total energy comes out at -77.7 eV/cell. As for the space-group type: C2/m (12). The crystal system is monoclinic.